Entry from Alexandria via LeMat-Bulk: crystalline AcPa2C at its relaxed geometry (PBE-GGA).

The structure in POSCAR format:
```
AcPa2C
1.0
3.2626 0.0000 0.0000
0.0000 3.2626 0.0000
0.0000 0.0000 8.6636
Ac Pa C
1 2 1
Direct
0.0000 0.0000 0.0000 Ac
0.5000 0.5000 0.3411 Pa
0.5000 0.5000 0.6589 Pa
0.0000 0.0000 0.5000 C
```

## Properties
Total DFT energy (no corrections): -7.69 eV per atom
Volume: 92.2 Å³ per cell
DFT formation energy: 0.394 eV/atom
Distance to the lowest polymorph of the same formula: 308.1 meV/atom
Fermi-level density of states: 7.30 states/eV/cell



Entry from Alexandria via LeMat-Bulk: crystalline AcPaC2 at its relaxed geometry (PBE-GGA).

The structure in POSCAR format:
```
AcPaC2
1.0
3.6722 0.0000 0.0000
-1.8361 3.1802 0.0000
0.0000 0.0000 6.5243
Ac Pa C
1 1 2
Direct
0.0000 0.0000 0.0000 Ac
0.0000 0.0000 0.5000 Pa
0.3333 0.6667 0.6965 C
0.6667 0.3333 0.3035 C
```

## Properties
Total DFT energy (no corrections): -7.87 eV per atom
Volume: 76.2 Å³ per cell
DFT formation energy: 0.143 eV/atom
Distance to the lowest polymorph of the same formula: 205.5 meV/atom
Fermi-level density of states: 2.85 states/eV/cell



Entry from Alexandria via LeMat-Bulk: crystalline AcPaCS2 at its relaxed geometry (PBE-GGA).

The structure in POSCAR format:
```
AcPaCS2
1.0
4.0288 0.0000 0.0000
0.0000 4.0288 0.0000
0.0000 0.0000 14.9219
Ac Pa C S
2 2 2 4
Direct
0.2500 0.2500 0.1324 Ac
0.7500 0.7500 0.8676 Ac
0.2500 0.2500 0.5780 Pa
0.7500 0.7500 0.4220 Pa
0.2500 0.7500 0.5000 C
0.7500 0.2500 0.5000 C
0.2500 0.2500 0.3209 S
0.2500 0.2500 0.9145 S
0.7500 0.7500 0.0855 S
0.7500 0.7500 0.6791 S
```

## Properties
Total DFT energy (no corrections): -7.54 eV per atom
Volume: 242.2 Å³ per cell
Fermi-level density of states: 5.34 states/eV/cell



Entry from Alexandria via LeMat-Bulk: crystalline AcPaCS at its relaxed geometry (PBE-GGA).

The structure in POSCAR format:
```
AcPaCS
1.0
1.9832 1.1450 14.2735
-1.9832 1.1450 14.2735
0.0000 -2.2900 14.2735
Ac Pa C S
2 2 2 2
Direct
0.2084 0.2084 0.2084 Ac
0.7916 0.7916 0.7916 Ac
0.3669 0.3669 0.3669 Pa
0.6331 0.6331 0.6331 Pa
0.3127 0.3127 0.3127 C
0.6873 0.6873 0.6873 C
0.0778 0.0778 0.0778 S
0.9222 0.9222 0.9222 S
```

## Properties
Total DFT energy (no corrections): -7.68 eV per atom
Volume: 194.5 Å³ per cell
Fermi-level density of states: 4.04 states/eV/cell



Entry from Alexandria via LeMat-Bulk: crystalline AcPaTe2C at its relaxed geometry (PBE-GGA).

The structure in POSCAR format:
```
AcPaTe2C
1.0
4.2380 0.0000 0.0000
0.0000 4.2380 0.0000
0.0000 0.0000 17.0857
Ac Pa Te C
2 2 4 2
Direct
0.2500 0.2500 0.1490 Ac
0.7500 0.7500 0.8510 Ac
0.2500 0.2500 0.5611 Pa
0.7500 0.7500 0.4389 Pa
0.2500 0.2500 0.3338 Te
0.2500 0.2500 0.9232 Te
0.7500 0.7500 0.0768 Te
0.7500 0.7500 0.6662 Te
0.2500 0.7500 0.5000 C
0.7500 0.2500 0.5000 C
```

## Properties
Total DFT energy (no corrections): -6.74 eV per atom
Volume: 306.9 Å³ per cell
Fermi-level density of states: 3.24 states/eV/cell



Entry from Alexandria via LeMat-Bulk: crystalline Ac4Pb2C at its relaxed geometry (PBE-GGA).

The structure in POSCAR format:
```
Ac4Pb2C
1.0
7.3942 0.0000 0.0000
0.0000 7.4466 0.0000
-3.5512 0.0000 9.4838
Ac Pb C
8 4 2
Direct
0.0041 0.0034 0.2639 Ac
0.0041 0.4966 0.2639 Ac
0.3941 0.7500 0.0634 Ac
0.4270 0.7500 0.6459 Ac
0.5730 0.2500 0.3541 Ac
0.6059 0.2500 0.9366 Ac
0.9959 0.5034 0.7361 Ac
0.9959 0.9966 0.7361 Ac
0.1985 0.2500 0.0414 Pb
0.2908 0.2500 0.5772 Pb
0.7092 0.7500 0.4228 Pb
0.8015 0.7500 0.9586 Pb
0.2269 0.7500 0.8001 C
0.7731 0.2500 0.1999 C
```

## Properties
Total DFT energy (no corrections): -5.03 eV per atom
Volume: 522.2 Å³ per cell
DFT formation energy: -0.308 eV/atom
Distance to the lowest polymorph of the same formula: 2.6 meV/atom
Fermi-level density of states: 3.42 states/eV/cell



Entry from Alexandria via LeMat-Bulk: crystalline Ac4Pb2C at its relaxed geometry (PBE-GGA).

The structure in POSCAR format:
```
Ac4Pb2C
1.0
-2.6751 2.6751 8.8532
2.6751 -2.6751 8.8532
2.6751 2.6751 -8.8532
Ac Pb C
4 2 1
Direct
0.0000 0.5000 0.5000 Ac
0.1647 0.1647 0.0000 Ac
0.5000 0.0000 0.5000 Ac
0.8353 0.8353 0.0000 Ac
0.3607 0.3607 0.0000 Pb
0.6393 0.6393 0.0000 Pb
0.0000 0.0000 0.0000 C
```

## Properties
Total DFT energy (no corrections): -5.04 eV per atom
Volume: 253.4 Å³ per cell
DFT formation energy: -0.310 eV/atom
Distance to the lowest polymorph of the same formula: 0.0 meV/atom
Fermi-level density of states: 2.59 states/eV/cell



Entry from Alexandria via LeMat-Bulk: crystalline Ac2PbC at its relaxed geometry (PBE-GGA).

The structure in POSCAR format:
```
Ac2PbC
1.0
1.9278 1.1130 10.1400
-1.9278 1.1130 10.1400
0.0000 -2.2260 10.1400
Ac Pb C
2 1 1
Direct
0.1162 0.1162 0.1162 Ac
0.8838 0.8838 0.8838 Ac
0.0000 0.0000 0.0000 Pb
0.5000 0.5000 0.5000 C
```

## Properties
Total DFT energy (no corrections): -5.19 eV per atom
Volume: 130.5 Å³ per cell
DFT formation energy: 0.093 eV/atom
Fermi-level density of states: 3.62 states/eV/cell



Entry from Alexandria via LeMat-Bulk: crystalline Ac7Pb4C at its relaxed geometry (PBE-GGA).

The structure in POSCAR format:
```
Ac7Pb4C
1.0
8.7424 -2.7883 0.0000
8.7424 2.7883 0.0000
-7.1489 0.0000 9.8981
Ac Pb C
7 4 1
Direct
0.0000 0.0000 0.0000 Ac
0.1385 0.1385 0.5368 Ac
0.2829 0.2829 0.1330 Ac
0.4351 0.4351 0.7578 Ac
0.5649 0.5649 0.2422 Ac
0.7171 0.7171 0.8670 Ac
0.8615 0.8615 0.4632 Ac
0.0799 0.0799 0.7767 Pb
0.2219 0.2219 0.3417 Pb
0.7781 0.7781 0.6583 Pb
0.9201 0.9201 0.2233 Pb
0.5000 0.5000 0.0000 C
```

## Properties
Total DFT energy (no corrections): -4.61 eV per atom
Volume: 482.6 Å³ per cell
DFT formation energy: -0.206 eV/atom
Fermi-level density of states: 5.58 states/eV/cell



Entry from Alexandria via LeMat-Bulk: crystalline Ac3PmPb2C at its relaxed geometry (PBE-GGA).

The structure in POSCAR format:
```
Ac3PmPb2C
1.0
-2.5704 2.6456 8.8178
2.5704 -2.6456 8.8178
2.5704 2.6456 -8.8178
Ac Pm Pb C
3 1 2 1
Direct
0.0000 0.0000 0.0000 Ac
0.3371 0.8371 0.5000 Ac
0.6629 0.1629 0.5000 Ac
0.5000 0.5000 0.0000 Pm
0.1377 0.6377 0.5000 Pb
0.8623 0.3623 0.5000 Pb
0.5000 0.0000 0.5000 C
```

## Properties
Total DFT energy (no corrections): -5.21 eV per atom
Volume: 239.9 Å³ per cell
DFT formation energy: -0.390 eV/atom
Fermi-level density of states: 1.83 states/eV/cell



Entry from Alexandria via LeMat-Bulk: crystalline Ac3PrPb2C at its relaxed geometry (PBE-GGA).

The structure in POSCAR format:
```
Ac3PrPb2C
1.0
-2.6029 2.6458 8.8196
2.6029 -2.6458 8.8196
2.6029 2.6458 -8.8196
Ac Pr Pb C
3 1 2 1
Direct
0.0000 0.0000 0.0000 Ac
0.3367 0.8367 0.5000 Ac
0.6633 0.1633 0.5000 Ac
0.5000 0.5000 0.0000 Pr
0.1379 0.6379 0.5000 Pb
0.8621 0.3621 0.5000 Pb
0.5000 0.0000 0.5000 C
```

## Properties
Total DFT energy (no corrections): -5.19 eV per atom
Volume: 243.0 Å³ per cell
DFT formation energy: -0.370 eV/atom
Fermi-level density of states: 1.89 states/eV/cell



Entry from Alexandria via LeMat-Bulk: crystalline Ac3TbPb2C at its relaxed geometry (PBE-GGA).

The structure in POSCAR format:
```
Ac3TbPb2C
1.0
-2.5218 2.6479 8.8193
2.5218 -2.6479 8.8193
2.5218 2.6479 -8.8193
Ac Tb Pb C
3 1 2 1
Direct
0.0000 0.0000 0.0000 Ac
0.3380 0.8380 0.5000 Ac
0.6620 0.1620 0.5000 Ac
0.5000 0.5000 0.0000 Tb
0.1378 0.6378 0.5000 Pb
0.8622 0.3622 0.5000 Pb
0.5000 0.0000 0.5000 C
```

## Properties
Total DFT energy (no corrections): -5.21 eV per atom
Volume: 235.6 Å³ per cell
DFT formation energy: -0.411 eV/atom
Fermi-level density of states: 2.04 states/eV/cell



Entry from Alexandria via LeMat-Bulk: crystalline Ac3YPb2C at its relaxed geometry (PBE-GGA).

The structure in POSCAR format:
```
Ac3YPb2C
1.0
-2.5117 2.6516 8.8243
2.5117 -2.6516 8.8243
2.5117 2.6516 -8.8243
Ac Y Pb C
3 1 2 1
Direct
0.0000 0.0000 0.0000 Ac
0.3381 0.8381 0.5000 Ac
0.6619 0.1619 0.5000 Ac
0.5000 0.5000 0.0000 Y
0.1379 0.6379 0.5000 Pb
0.8621 0.3621 0.5000 Pb
0.5000 0.0000 0.5000 C
```

## Properties
Total DFT energy (no corrections): -5.48 eV per atom
Volume: 235.1 Å³ per cell
DFT formation energy: -0.423 eV/atom
Fermi-level density of states: 2.03 states/eV/cell



Entry from Alexandria via LeMat-Bulk: crystalline Ac6Pd2C at its relaxed geometry (PBE-GGA).

The structure in POSCAR format:
```
Ac6Pd2C
1.0
7.0420 0.0000 0.0000
0.0000 7.8352 0.0000
-6.8827 0.0000 10.8331
Ac Pd C
12 4 2
Direct
0.1006 0.0366 0.2366 Ac
0.1006 0.4634 0.7366 Ac
0.2283 0.6910 0.0623 Ac
0.2283 0.8090 0.5623 Ac
0.3788 0.1725 0.0648 Ac
0.3788 0.3275 0.5648 Ac
0.6212 0.6725 0.4352 Ac
0.6212 0.8275 0.9352 Ac
0.7717 0.1910 0.4377 Ac
0.7717 0.3090 0.9377 Ac
0.8994 0.5366 0.2634 Ac
0.8994 0.9634 0.7634 Ac
0.3121 0.1091 0.7522 Pd
0.3121 0.3909 0.2522 Pd
0.6879 0.6091 0.7478 Pd
0.6879 0.8909 0.2478 Pd
0.0000 0.0000 0.0000 C
0.0000 0.5000 0.5000 C
```

## Properties
Total DFT energy (no corrections): -5.25 eV per atom
Volume: 597.7 Å³ per cell
DFT formation energy: -0.335 eV/atom
Fermi-level density of states: 18.47 states/eV/cell



Entry from Alexandria via LeMat-Bulk: crystalline Ac12Pd3C5 at its relaxed geometry (PBE-GGA).

The structure in POSCAR format:
```
Ac12Pd3C5
1.0
-8.5264 8.5264 8.5264
8.5264 -8.5264 8.5264
8.5264 8.5264 -8.5264
Ac Pd C
48 12 20
Direct
0.0258 0.2057 0.1211 Ac
0.0258 0.3201 0.9047 Ac
0.0845 0.7057 0.6799 Ac
0.0845 0.8789 0.4047 Ac
0.0953 0.6211 0.4155 Ac
0.0953 0.9742 0.6799 Ac
0.1211 0.0258 0.2057 Ac
0.1211 0.5953 0.9155 Ac
0.1799 0.2057 0.5845 Ac
0.1799 0.4742 0.5953 Ac
0.2057 0.1211 0.0258 Ac
0.2057 0.5845 0.1799 Ac
0.2943 0.3201 0.9155 Ac
0.2943 0.4742 0.3789 Ac
0.3201 0.9047 0.0258 Ac
0.3201 0.9155 0.2943 Ac
0.3789 0.2943 0.4742 Ac
0.3789 0.5845 0.9047 Ac
0.4047 0.0845 0.8789 Ac
0.4047 0.8201 0.5258 Ac
0.4155 0.0953 0.6211 Ac
0.4155 0.8201 0.7943 Ac
0.4742 0.3789 0.2943 Ac
0.4742 0.5953 0.1799 Ac
0.5258 0.4047 0.8201 Ac
0.5258 0.6211 0.7057 Ac
0.5845 0.1799 0.2057 Ac
0.5845 0.9047 0.3789 Ac
0.5953 0.1799 0.4742 Ac
0.5953 0.9155 0.1211 Ac
0.6211 0.4155 0.0953 Ac
0.6211 0.7057 0.5258 Ac
0.6799 0.0845 0.7057 Ac
0.6799 0.0953 0.9742 Ac
0.7057 0.5258 0.6211 Ac
0.7057 0.6799 0.0845 Ac
0.7943 0.4155 0.8201 Ac
0.7943 0.8789 0.9742 Ac
0.8201 0.5258 0.4047 Ac
0.8201 0.7943 0.4155 Ac
0.8789 0.4047 0.0845 Ac
0.8789 0.9742 0.7943 Ac
0.9047 0.0258 0.3201 Ac
0.9047 0.3789 0.5845 Ac
0.9155 0.1211 0.5953 Ac
0.9155 0.2943 0.3201 Ac
0.9742 0.6799 0.0953 Ac
0.9742 0.7943 0.8789 Ac
0.1250 0.2500 0.3750 Pd
0.1250 0.3750 0.7500 Pd
0.2500 0.3750 0.1250 Pd
0.2500 0.8750 0.6250 Pd
0.3750 0.1250 0.2500 Pd
0.3750 0.7500 0.1250 Pd
0.6250 0.2500 0.8750 Pd
0.6250 0.8750 0.7500 Pd
0.7500 0.1250 0.3750 Pd
0.7500 0.6250 0.8750 Pd
0.8750 0.6250 0.2500 Pd
0.8750 0.7500 0.6250 Pd
0.0000 0.0000 0.0000 C
0.0000 0.0000 0.5000 C
0.0000 0.5000 0.0000 C
0.0000 0.5000 0.5000 C
0.1250 0.7500 0.8750 C
0.1250 0.8750 0.2500 C
0.2500 0.1250 0.8750 C
0.2500 0.6250 0.3750 C
0.3750 0.2500 0.6250 C
0.3750 0.6250 0.7500 C
0.5000 0.0000 0.0000 C
0.5000 0.0000 0.5000 C
0.5000 0.5000 0.0000 C
0.5000 0.5000 0.5000 C
0.6250 0.3750 0.2500 C
0.6250 0.7500 0.3750 C
0.7500 0.3750 0.6250 C
0.7500 0.8750 0.1250 C
0.8750 0.1250 0.7500 C
0.8750 0.2500 0.1250 C
```

## Properties
Total DFT energy (no corrections): -5.58 eV per atom
Volume: 2479.5 Å³ per cell
DFT formation energy: -0.027 eV/atom
Fermi-level density of states: 59.73 states/eV/cell



Entry from Alexandria via LeMat-Bulk: crystalline Ac4Pd2C at its relaxed geometry (PBE-GGA).

The structure in POSCAR format:
```
Ac4Pd2C
1.0
-2.6719 2.6719 7.6412
2.6719 -2.6719 7.6412
2.6719 2.6719 -7.6412
Ac Pd C
4 2 1
Direct
0.0000 0.5000 0.5000 Ac
0.1823 0.1823 0.0000 Ac
0.5000 0.0000 0.5000 Ac
0.8177 0.8177 0.0000 Ac
0.3738 0.3738 0.0000 Pd
0.6262 0.6262 0.0000 Pd
0.0000 0.0000 0.0000 C
```

## Properties
Total DFT energy (no corrections): -5.39 eV per atom
Volume: 218.2 Å³ per cell
DFT formation energy: -0.243 eV/atom
Fermi-level density of states: 8.01 states/eV/cell



Entry from Alexandria via LeMat-Bulk: crystalline AcPmC at its relaxed geometry (PBE-GGA).

The structure in POSCAR format:
```
AcPmC
1.0
1.8041 -6.0811 0.0000
1.8041 6.0811 0.0000
0.0000 0.0000 7.0749
Ac Pm C
2 2 2
Direct
0.2441 0.7559 0.7500 Ac
0.7559 0.2441 0.2500 Ac
0.0000 0.0000 0.0000 Pm
0.0000 0.0000 0.5000 Pm
0.4254 0.5746 0.2500 C
0.5746 0.4254 0.7500 C
```

## Properties
Total DFT energy (no corrections): -5.81 eV per atom
Volume: 155.2 Å³ per cell
DFT formation energy: 0.218 eV/atom
Distance to the lowest polymorph of the same formula: 226.8 meV/atom
Fermi-level density of states: 4.11 states/eV/cell



Entry from Alexandria via LeMat-Bulk: crystalline AcPm3C at its relaxed geometry (PBE-GGA).

The structure in POSCAR format:
```
AcPm3C
1.0
5.2691 0.0000 0.0000
0.0000 5.2691 0.0000
0.0000 0.0000 5.2691
Ac Pm C
1 3 1
Direct
0.0000 0.0000 0.0000 Ac
0.0000 0.5000 0.5000 Pm
0.5000 0.0000 0.5000 Pm
0.5000 0.5000 0.0000 Pm
0.5000 0.5000 0.5000 C
```

## Properties
Total DFT energy (no corrections): -5.43 eV per atom
Volume: 146.3 Å³ per cell
DFT formation energy: 0.091 eV/atom
Fermi-level density of states: 5.27 states/eV/cell



Entry from Alexandria via LeMat-Bulk: crystalline Ac3PmC at its relaxed geometry (PBE-GGA).

The structure in POSCAR format:
```
Ac3PmC
1.0
5.5590 0.0000 0.0000
0.0000 5.5590 0.0000
0.0000 0.0000 5.5590
Ac Pm C
3 1 1
Direct
0.0000 0.0000 0.5000 Ac
0.0000 0.5000 0.0000 Ac
0.5000 0.0000 0.0000 Ac
0.5000 0.5000 0.5000 Pm
0.0000 0.0000 0.0000 C
```

## Properties
Total DFT energy (no corrections): -5.07 eV per atom
Volume: 171.8 Å³ per cell
DFT formation energy: 0.190 eV/atom
Fermi-level density of states: 6.19 states/eV/cell



Entry from Alexandria via LeMat-Bulk: crystalline AcPm2C at its relaxed geometry (PBE-GGA).

The structure in POSCAR format:
```
AcPm2C
1.0
1.8812 1.0861 9.5942
-1.8812 1.0861 9.5942
0.0000 -2.1723 9.5942
Ac Pm C
1 2 1
Direct
0.0000 0.0000 0.0000 Ac
0.2152 0.2152 0.2152 Pm
0.7848 0.7848 0.7848 Pm
0.5000 0.5000 0.5000 C
```

## Properties
Total DFT energy (no corrections): -5.75 eV per atom
Volume: 117.6 Å³ per cell
DFT formation energy: -0.038 eV/atom
Distance to the lowest polymorph of the same formula: 12.2 meV/atom
Fermi-level density of states: 5.31 states/eV/cell